Entry 1:
# AlSiCl2 (meta-GGA SCAN, single point on PBEsol structure)
# Offset from the most stable computed form (eV/atom): 0.617
data_AlSiCl2
_chemical_formula_sum 'Al2 Si2 Cl4'
_cell_length_a 6.128
_cell_length_b 8.032
_cell_length_c 3.118
_cell_angle_alpha 90.00
_cell_angle_beta 90.00
_cell_angle_gamma 90.00
_space_group_name_H-M_alt 'C m m m'
_space_group_IT_number 65
_space_group_name_Hall '-C 2 2'
loop_
_atom_site_label
_atom_site_type_symbol
_atom_site_fract_x
_atom_site_fract_y
_atom_site_fract_z
_atom_site_occupancy
Al1 Al 0.000 0.000 0.000 1
Si1 Si 0.000 0.500 0.000 1
Cl1 Cl 0.250 0.250 0.500 1

Entry 2:
# AlSi2Cl (meta-GGA SCAN, single point on PBEsol structure)
# Offset from the most stable computed form (eV/atom): 0.045
data_AlSi2Cl
_chemical_formula_sum 'Al1 Si2 Cl1'
_cell_length_a 3.365
_cell_length_b 3.365
_cell_length_c 8.002
_cell_angle_alpha 90.00
_cell_angle_beta 90.00
_cell_angle_gamma 90.00
_space_group_name_H-M_alt 'P 4 m m'
_space_group_IT_number 99
loop_
_space_group_symop_operation_xyz
'x,y,z'
'-y,x,z'
'-x,-y,z'
'y,-x,z'
'-x,y,z'
'y,x,z'
'x,-y,z'
'-y,-x,z'
loop_
_atom_site_label
_atom_site_type_symbol
_atom_site_fract_x
_atom_site_fract_y
_atom_site_fract_z
_atom_site_occupancy
Al1 Al 0.000 0.000 0.000 1
Si1 Si 0.000 0.000 0.693 1
Si2 Si 0.500 0.500 0.613 1
Cl1 Cl 0.500 0.500 0.138 1